{"formula": "RbWF2", "functional": "PBE+U", "state": "relaxed", "lattice": [[-3.442, 3.442, 3.935], [3.442, -3.442, 3.935], [3.442, 3.442, -3.935]], "species": ["Rb", "Rb", "W", "W", "F", "F", "F", "F"], "fractional_positions": [[0.000, 0.000, 0.000], [0.750, 0.250, 0.500], [0.250, 0.750, 0.500], [0.500, 0.500, 0.000], [0.179, 0.125, 0.554], [0.375, 0.821, 0.946], [0.571, 0.625, 0.446], [0.875, 0.429, 0.054]], "dft_energy_ev_per_atom": -4.1996, "n_ef_per_ev_cell": 2.88}